(1)
# SbRu2Au | Alexandria via LeMat-Bulk | PBE | relaxed
data_SbRu2Au
_space_group_name_H-M_alt 'P 1'
_space_group_IT_number 1
_space_group_name_Hall 'P 1'
_cell_length_a 2.9290
_cell_length_b 2.9290
_cell_length_c 8.3662
_cell_angle_alpha 90.00
_cell_angle_beta 90.00
_cell_angle_gamma 90.00
loop_
_atom_site_label
_atom_site_type_symbol
_atom_site_fract_x
_atom_site_fract_y
_atom_site_fract_z
Sb1 Sb 0.0000 0.0000 0.0000
Ru1 Ru 0.0000 0.0000 0.5647
Ru2 Ru 0.5000 0.5000 0.7531
Au1 Au 0.5000 0.5000 0.3245
# SG   P4mm, No. 99
# Fermi-level density of states   3.23 states/eV per cell
# E   -6.21 eV/atom
# Formation energy without anion corrections   0.2789 eV per atom

---

(2)
# SbRu2Au | Alexandria via LeMat-Bulk | PBE | relaxed
data_SbRu2Au
_space_group_name_H-M_alt 'P 1'
_space_group_IT_number 1
_space_group_name_Hall 'P 1'
_cell_length_a 4.5838
_cell_length_b 4.5838
_cell_length_c 5.2295
_cell_angle_alpha 101.35
_cell_angle_beta 101.35
_cell_angle_gamma 39.02
loop_
_atom_site_label
_atom_site_type_symbol
_atom_site_fract_x
_atom_site_fract_y
_atom_site_fract_z
Sb1 Sb 0.0000 0.0000 0.0000
Ru1 Ru 0.2561 0.2561 0.7627
Ru2 Ru 0.7439 0.7439 0.2373
Au1 Au 0.5000 0.5000 0.5000
# SG   C2/m, No. 12
# Fermi-level density of states   2.84 states/eV per cell
# E   -6.19 eV/atom
# Formation energy without anion corrections   0.2929 eV per atom

---

(3)
# SbRu2Au2 | Alexandria via LeMat-Bulk | PBE | relaxed
data_SbRu2Au2
_space_group_name_H-M_alt 'P 1'
_space_group_IT_number 1
_space_group_name_Hall 'P 1'
_cell_length_a 6.5563
_cell_length_b 6.5563
_cell_length_c 4.2481
_cell_angle_alpha 90.00
_cell_angle_beta 90.00
_cell_angle_gamma 90.00
loop_
_atom_site_label
_atom_site_type_symbol
_atom_site_fract_x
_atom_site_fract_y
_atom_site_fract_z
Sb1 Sb 0.0000 0.0000 0.0000
Sb2 Sb 0.5000 0.5000 0.0000
Ru1 Ru 0.1329 0.3671 0.0000
Ru2 Ru 0.3671 0.8671 0.0000
Ru3 Ru 0.6329 0.1329 0.0000
Ru4 Ru 0.8671 0.6329 0.0000
Au1 Au 0.1677 0.6677 0.5000
Au2 Au 0.3323 0.1677 0.5000
Au3 Au 0.6677 0.8323 0.5000
Au4 Au 0.8323 0.3323 0.5000
# SG   P4/mbm, No. 127
# Fermi-level density of states   7.03 states/eV per cell
# E   -5.59 eV/atom
# Formation energy without anion corrections   0.2588 eV per atom

---

(4)
# SbRuAu3 | Alexandria via LeMat-Bulk | PBE | relaxed
data_SbRuAu3
_space_group_name_H-M_alt 'P 1'
_space_group_IT_number 1
_space_group_name_Hall 'P 1'
_cell_length_a 5.0219
_cell_length_b 5.0219
_cell_length_c 5.0219
_cell_angle_alpha 90.00
_cell_angle_beta 90.00
_cell_angle_gamma 90.00
loop_
_atom_site_label
_atom_site_type_symbol
_atom_site_fract_x
_atom_site_fract_y
_atom_site_fract_z
Sb1 Sb 0.0000 0.0000 0.0000
Ru1 Ru 0.5000 0.5000 0.5000
Au1 Au 0.0000 0.5000 0.5000
Au2 Au 0.5000 0.0000 0.5000
Au3 Au 0.5000 0.5000 0.0000
# SG   Pm-3m, No. 221
# Fermi-level density of states   4.78 states/eV per cell
# E   -3.60 eV/atom
# Offset from the most stable computed form   0 meV/atom
# Formation energy without anion corrections   1.0451 eV per atom

---

(5)
# SbRu2Au | Alexandria via LeMat-Bulk | PBE | relaxed
data_SbRu2Au
_space_group_name_H-M_alt 'P 1'
_space_group_IT_number 1
_space_group_name_Hall 'P 1'
_cell_length_a 5.0015
_cell_length_b 5.0015
_cell_length_c 5.0015
_cell_angle_alpha 132.65
_cell_angle_beta 132.65
_cell_angle_gamma 69.20
loop_
_atom_site_label
_atom_site_type_symbol
_atom_site_fract_x
_atom_site_fract_y
_atom_site_fract_z
Sb1 Sb 0.0000 0.0000 0.0000
Ru1 Ru 0.5000 0.5000 0.0000
Ru2 Ru 0.7500 0.2500 0.5000
Au1 Au 0.2500 0.7500 0.5000
# SG   I-4m2, No. 119
# Fermi-level density of states   5.76 states/eV per cell
# E   -6.11 eV/atom
# Formation energy without anion corrections   0.3793 eV per atom

---

(6)
# SbRuAu4 | Alexandria via LeMat-Bulk | PBE | relaxed
data_SbRuAu4
_space_group_name_H-M_alt 'P 1'
_space_group_IT_number 1
_space_group_name_Hall 'P 1'
_cell_length_a 5.5117
_cell_length_b 5.5117
_cell_length_c 5.5117
_cell_angle_alpha 60.00
_cell_angle_beta 60.00
_cell_angle_gamma 60.00
loop_
_atom_site_label
_atom_site_type_symbol
_atom_site_fract_x
_atom_site_fract_y
_atom_site_fract_z
Sb1 Sb 0.0000 0.0000 0.0000
Ru1 Ru 0.2500 0.2500 0.2500
Au1 Au 0.1260 0.6247 0.6247
Au2 Au 0.6247 0.1260 0.6247
Au3 Au 0.6247 0.6247 0.1260
Au4 Au 0.6247 0.6247 0.6247
# SG   F-43m, No. 216
# Fermi-level density of states   7.13 states/eV per cell
# E   -3.93 eV/atom
# Formation energy without anion corrections   0.4891 eV per atom

---

(7)
# SbRu2Au | Alexandria via LeMat-Bulk | PBE | relaxed
data_SbRu2Au
_space_group_name_H-M_alt 'P 1'
_space_group_IT_number 1
_space_group_name_Hall 'P 1'
_cell_length_a 2.9947
_cell_length_b 2.9947
_cell_length_c 8.6683
_cell_angle_alpha 90.00
_cell_angle_beta 90.00
_cell_angle_gamma 115.88
loop_
_atom_site_label
_atom_site_type_symbol
_atom_site_fract_x
_atom_site_fract_y
_atom_site_fract_z
Sb1 Sb 0.0000 0.0000 0.0000
Ru1 Ru 0.5000 0.5000 0.2329
Ru2 Ru 0.5000 0.5000 0.7671
Au1 Au 0.0000 0.0000 0.5000
# SG   Cmmm, No. 65
# Fermi-level density of states   4.50 states/eV per cell
# E   -5.90 eV/atom
# Formation energy without anion corrections   0.5896 eV per atom

---

(8)
# SbRu2Au | Alexandria via LeMat-Bulk | PBE | relaxed
data_SbRu2Au
_space_group_name_H-M_alt 'P 1'
_space_group_IT_number 1
_space_group_name_Hall 'P 1'
_cell_length_a 4.5905
_cell_length_b 4.5905
_cell_length_c 4.5905
_cell_angle_alpha 60.00
_cell_angle_beta 60.00
_cell_angle_gamma 60.00
loop_
_atom_site_label
_atom_site_type_symbol
_atom_site_fract_x
_atom_site_fract_y
_atom_site_fract_z
Sb1 Sb 0.0000 0.0000 0.0000
Ru1 Ru 0.2500 0.2500 0.2500
Ru2 Ru 0.5000 0.5000 0.5000
Au1 Au 0.7500 0.7500 0.7500
# SG   F-43m, No. 216
# Fermi-level density of states   5.09 states/eV per cell
# E   -6.00 eV/atom
# Formation energy without anion corrections   0.4904 eV per atom

---

(9)
# SbRu2Au | Alexandria via LeMat-Bulk | PBE | relaxed
data_SbRu2Au
_space_group_name_H-M_alt 'P 1'
_space_group_IT_number 1
_space_group_name_Hall 'P 1'
_cell_length_a 8.6345
_cell_length_b 8.6345
_cell_length_c 8.6345
_cell_angle_alpha 20.39
_cell_angle_beta 20.39
_cell_angle_gamma 20.39
loop_
_atom_site_label
_atom_site_type_symbol
_atom_site_fract_x
_atom_site_fract_y
_atom_site_fract_z
Sb1 Sb 0.0000 0.0000 0.0000
Ru1 Ru 0.2552 0.2552 0.2552
Ru2 Ru 0.7448 0.7448 0.7448
Au1 Au 0.5000 0.5000 0.5000
# SG   R-3m, No. 166
# Fermi-level density of states   3.87 states/eV per cell
# E   -6.12 eV/atom
# Formation energy without anion corrections   0.3663 eV per atom

---

(10)
# SbRuAu3 | Alexandria via LeMat-Bulk | PBE | relaxed
data_SbRuAu3
_space_group_name_H-M_alt 'P 1'
_space_group_IT_number 1
_space_group_name_Hall 'P 1'
_cell_length_a 5.1093
_cell_length_b 5.1093
_cell_length_c 5.1093
_cell_angle_alpha 90.00
_cell_angle_beta 90.00
_cell_angle_gamma 90.00
loop_
_atom_site_label
_atom_site_type_symbol
_atom_site_fract_x
_atom_site_fract_y
_atom_site_fract_z
Sb1 Sb 0.0000 0.0000 0.0000
Ru1 Ru 0.5000 0.5000 0.5000
Au1 Au 0.0000 0.0000 0.5000
Au2 Au 0.0000 0.5000 0.0000
Au3 Au 0.5000 0.0000 0.0000
# SG   Pm-3m, No. 221
# Fermi-level density of states   5.24 states/eV per cell
# E   -3.42 eV/atom
# Offset from the most stable computed form   182 meV/atom
# Formation energy without anion corrections   1.2267 eV per atom

---

(11)
# SbRu2Au | Alexandria via LeMat-Bulk | PBE | relaxed
data_SbRu2Au
_space_group_name_H-M_alt 'P 1'
_space_group_IT_number 1
_space_group_name_Hall 'P 1'
_cell_length_a 9.6005
_cell_length_b 9.6005
_cell_length_c 9.6005
_cell_angle_alpha 17.61
_cell_angle_beta 17.61
_cell_angle_gamma 17.61
loop_
_atom_site_label
_atom_site_type_symbol
_atom_site_fract_x
_atom_site_fract_y
_atom_site_fract_z
Sb1 Sb 0.0000 0.0000 0.0000
Ru1 Ru 0.4830 0.4830 0.4830
Ru2 Ru 0.7465 0.7465 0.7465
Au1 Au 0.2327 0.2327 0.2327
# SG   R3m, No. 160
# Fermi-level density of states   1.85 states/eV per cell
# E   -6.10 eV/atom
# Formation energy without anion corrections   0.3920 eV per atom

---

(12)
# SbRu2Au | Alexandria via LeMat-Bulk | PBE | relaxed
data_SbRu2Au
_space_group_name_H-M_alt 'P 1'
_space_group_IT_number 1
_space_group_name_Hall 'P 1'
_cell_length_a 3.1755
_cell_length_b 3.1755
_cell_length_c 6.6045
_cell_angle_alpha 90.00
_cell_angle_beta 90.00
_cell_angle_gamma 90.00
loop_
_atom_site_label
_atom_site_type_symbol
_atom_site_fract_x
_atom_site_fract_y
_atom_site_fract_z
Sb1 Sb 0.0000 0.0000 0.0000
Ru1 Ru 0.5000 0.5000 0.2263
Ru2 Ru 0.5000 0.5000 0.7737
Au1 Au 0.0000 0.0000 0.5000
# SG   P4/mmm, No. 123
# Fermi-level density of states   4.51 states/eV per cell
# E   -6.24 eV/atom
# Formation energy without anion corrections   0.2490 eV per atom